Crystalline SmHoErTh at its relaxed geometry, computed with PBE.

Output
Energy above the lowest structure with this stoichiometry = 124.3 meV/atom
Magnetization = 0.00 μB/f.u.
Energy relative to the elements = 13.0 kJ/mol of atoms
Calculated total energy = -5.185 eV per atom

abc: 5.6705 5.6705 5.6705
angles: 60.00 60.00 60.00
Last column: nearest neighbours and their distance in Å.
Positions (direct):
Sm  0.0000  0.0000  0.0000  4 Er 3.47, 4 Ho 3.47
Ho  0.7500  0.7500  0.7500  4 Sm 3.47, 4 Th 3.47
Th  0.5000  0.5000  0.5000  4 Ho 3.47, 4 Er 3.47
Er  0.2500  0.2500  0.2500  4 Th 3.47, 4 Sm 3.47

***

Crystalline Sm6HoEr2Th3 at its relaxed geometry, computed with PBE.

Output
Magnetization = 0.00 μB/f.u.
Energy relative to the elements = 3.6 kJ/mol of atoms
Calculated total energy = -5.320 eV per atom

abc: 6.2143 6.2143 11.8999
angles: 95.00 95.00 119.94
Last column: nearest neighbours and their distance in Å.
Positions (direct):
Sm  0.9161  0.5827  0.7474  3 Th 3.56, 6 Sm 3.59, 2 Er 3.61, 1 Ho 3.61
Sm  0.7504  0.7504  0.2525  3 Th 3.56, 6 Sm 3.59, 2 Er 3.61, 1 Ho 3.61
Sm  0.0839  0.4173  0.2526  3 Th 3.56, 6 Sm 3.59, 2 Er 3.61, 1 Ho 3.61
Sm  0.5827  0.9161  0.7474  3 Th 3.56, 6 Sm 3.59, 2 Er 3.61, 1 Ho 3.61
Sm  0.2496  0.2496  0.7475  3 Th 3.56, 6 Sm 3.59, 2 Er 3.61, 1 Ho 3.61
Sm  0.4173  0.0839  0.2526  3 Th 3.56, 6 Sm 3.59, 2 Er 3.61, 1 Ho 3.61
Ho  0.0000  0.0000  0.0000  6 Er 3.59, 6 Sm 3.61
Er  0.3333  0.6667  0.0000  3 Ho 3.59, 3 Er 3.59, 6 Sm 3.61
Er  0.6667  0.3333  0.0000  3 Ho 3.59, 3 Er 3.59, 6 Sm 3.61
Th  0.1666  0.8334  0.5000  6 Sm 3.56, 6 Th 3.59
Th  0.8334  0.1666  0.5000  6 Sm 3.56, 6 Th 3.59
Th  0.5000  0.5000  0.5000  6 Sm 3.56, 6 Th 3.59

***

Crystalline Sm6Ho3ErTh2 at its relaxed geometry, computed with PBE.

Output
Magnetization = 0.00 μB/f.u.
Energy relative to the elements = 3.3 kJ/mol of atoms
Calculated total energy = -5.086 eV per atom

abc: 6.2028 6.2028 11.9172
angles: 94.99 94.99 119.94
Last column: nearest neighbours and their distance in Å.
Positions (direct):
Sm  0.9171  0.5815  0.7518  6 Sm 3.57-3.61, 2 Th 3.57, 1 Er 3.58, 3 Ho 3.60-3.61
Sm  0.7469  0.7469  0.2486  6 Sm 3.57-3.61, 2 Th 3.57, 1 Er 3.59, 3 Ho 3.59-3.61
Sm  0.0829  0.4185  0.2482  6 Sm 3.57-3.61, 2 Th 3.57, 1 Er 3.58, 3 Ho 3.60-3.61
Sm  0.5815  0.9171  0.7518  6 Sm 3.57-3.61, 2 Th 3.57, 1 Er 3.58, 3 Ho 3.60-3.61
Sm  0.2531  0.2531  0.7514  6 Sm 3.57-3.61, 2 Th 3.57, 1 Er 3.59, 3 Ho 3.59-3.61
Sm  0.4185  0.0829  0.2482  6 Sm 3.57-3.61, 2 Th 3.57, 1 Er 3.58, 3 Ho 3.60-3.61
Ho  0.1667  0.8333  0.5000  6 Ho 3.58, 6 Sm 3.60-3.61
Ho  0.8333  0.1667  0.5000  6 Ho 3.58, 6 Sm 3.60-3.61
Ho  0.5000  0.5000  0.5000  6 Ho 3.58, 6 Sm 3.59-3.61
Er  0.0000  0.0000  0.0000  6 Sm 3.58-3.59, 6 Th 3.58
Th  0.3335  0.6665  0.0000  6 Sm 3.57, 3 Th 3.58-3.59, 3 Er 3.58
Th  0.6665  0.3335  0.0000  6 Sm 3.57, 3 Th 3.58-3.59, 3 Er 3.58

***

Crystalline Sm2HoEr4Th at its relaxed geometry, computed with PBE.

Output
Magnetization = 0.00 μB/f.u.
Energy relative to the elements = 3.1 kJ/mol of atoms
Calculated total energy = -4.929 eV per atom

abc: 5.0523 5.0377 11.1343
angles: 63.13 90.00 90.00
Last column: nearest neighbours and their distance in Å.
Positions (direct):
Sm  0.0000  0.0000  0.0000  8 Er 3.55-3.56, 4 Ho 3.57
Sm  0.5000  0.0000  0.5000  8 Er 3.52-3.53, 4 Th 3.57
Ho  0.5000  0.5000  0.0000  8 Er 3.55-3.56, 4 Sm 3.57
Er  0.0000  0.7521  0.7477  2 Th 3.52, 4 Sm 3.53-3.55, 2 Ho 3.56, 4 Er 3.57
Er  0.0000  0.2479  0.2523  2 Th 3.52, 4 Sm 3.53-3.55, 2 Ho 3.56, 4 Er 3.57
Er  0.5000  0.7474  0.2526  4 Sm 3.52-3.56, 2 Th 3.52, 2 Ho 3.55-3.56, 4 Er 3.57
Er  0.5000  0.2526  0.7474  4 Sm 3.52-3.56, 2 Th 3.52, 2 Ho 3.55-3.56, 4 Er 3.57
Th  0.0000  0.5000  0.5000  8 Er 3.52, 4 Sm 3.57